1.
Computed, not measured: TbCe2Ru after structural relaxation at the PBE-GGA level of DFT.

POSCAR file:
```
TbCe2Ru
1.0
-4.7096 -0.6466 -0.4148
-1.7566 -2.4340 -3.7095
-1.8073 -5.2220 1.2131
Tb Ru Ce
1 1 2
Cartesian
-4.1368 -4.1513 -1.4556 Tb
0.0000 0.0000 0.0000 Ru
-2.0821 -1.9104 -0.8297 Ce
-6.1914 -6.3922 -2.0815 Ce
```

Calculated values
E above lowest polymorph in eV/atom: 0.312
E in eV per atom: -6.36
N(E_F) in states/eV per cell: 9.3
Formation energy from the elements in kcal/mol of atoms: 1.9
Space group: R-3m (166)

***

2.
Computed, not measured: Rb3Er2ZrSe6 after structural relaxation at the PBE-GGA level of DFT.

POSCAR file:
```
Rb3Er2ZrSe6
1.0
-4.3038 -2.3424 5.1925
2.9523 -4.6392 -4.5533
6.7596 1.5548 4.6663
Se Rb Zr Er
6 3 1 2
Cartesian
5.0919 -0.5542 3.9217 Se
2.1805 -1.6520 -0.5277 Se
-0.1694 -0.9081 2.6284 Se
3.2276 -3.7748 5.8332 Se
5.5774 -4.5187 2.6770 Se
0.3162 -4.8727 1.3838 Se
5.1057 -3.4737 -0.5731 Rb
2.7040 -2.7134 2.6527 Rb
0.3024 -1.9532 5.8785 Rb
0.0000 0.0000 0.0000 Zr
-1.8832 -3.1086 1.9414 Er
0.5318 -3.8730 -1.3022 Er
```

Calculated values
E in eV per atom: -5.02
N(E_F) in states/eV per cell: 4.6
ΔE_f (raw) in meV/atom: -1562
Space group: C2/m (12)

***

3.
Computed, not measured: MnAgRh3 after structural relaxation at the PBE-GGA level of DFT.

POSCAR file:
```
MnAgRh3
1.0
-3.4639 -2.4468 1.3159
-0.0808 -2.0135 -3.9567
2.7770 -3.1106 1.5262
Ag Mn Rh
1 1 3
Cartesian
-0.3838 -3.7854 -0.5573 Ag
0.0000 0.0000 0.0000 Mn
-0.0404 -1.0068 -1.9784 Rh
1.3885 -1.5553 0.7631 Rh
-1.7319 -1.2234 0.6579 Rh
```

Calculated values
E above lowest polymorph in eV/atom: 0.000
E in eV per atom: -5.94
N(E_F) in states/eV per cell: 4.4
Formation energy from the elements in kcal/mol of atoms: 20.2
Space group: Pm-3m (221)

***

4.
Computed, not measured: PmDyCo after structural relaxation at the PBE-GGA level of DFT.

POSCAR file:
```
PmDyCo
1.0
-0.4966 2.6846 2.4955
2.8217 -1.9761 5.4286
4.7137 4.8629 -1.5523
Dy Co Pm
2 2 2
Cartesian
1.1177 0.8450 2.0546 Dy
5.9211 4.7264 4.3172 Dy
3.1569 1.5060 7.2315 Co
3.8820 4.0653 -0.8597 Co
3.1547 3.9567 1.8535 Pm
3.8841 1.6147 4.5182 Pm
```

Calculated values
E above lowest polymorph in eV/atom: 0.000
E in eV per atom: -5.61
N(E_F) in states/eV per cell: 5.4
Formation energy from the elements in kcal/mol of atoms: -2.9
Space group: C2/m (12)

***

Question: Look up the E of the first one.
Answer: -6.36 eV per atom

***

Question: Look up the E of the second one.
Answer: -5.02 eV per atom

***

Question: The highest N(E_F) belongs to which entry?
Answer: TbCe2Ru